Record 1
DFT (GGA-PBE) results for a relaxed structure of DyY2Zn.

Cell lengths 3.6272, 3.6272, 30.5305 Å; angles 90.00, 90.00, 120.00 degrees
Space group R3m (No. 160, hexagonal axes)
Symmetry-distinct sites (fractional):
Dy 0.0000 0.0000 0.0000 [3 per cell]
Y 0.0000 0.0000 0.2389 [3 per cell]
Y 0.0000 0.0000 0.4284 [3 per cell]
Zn 0.0000 0.0000 0.8341 [3 per cell]

## Properties
The formation energy is -6.52 kJ per mole of atoms. Its crystal system is trigonal. The volume comes out at 116 Å³/f.u. The total energy comes out at -4.769 eV/atom. Its density of states at the Fermi level is 16.0 states/eV/cell.


Record 2
DFT (GGA-PBE) results for a relaxed structure of Na3Ga3PdO8.

Cell lengths 6.0524, 6.0524, 16.3964 Å; angles 90.00, 90.00, 120.00 degrees
Space group R-3m (No. 166, hexagonal axes)
Symmetry-distinct sites (fractional):
Na 0.0000 0.5000 0.0000 [9 per cell]
Ga 0.0000 0.5000 0.5000 [9 per cell]
Pd 0.0000 0.0000 0.5000 [3 per cell]
O 0.0000 0.0000 0.2323 [6 per cell]
O 0.0002 0.5001 0.2307 [18 per cell]

## Properties
For the uncorrected formation energy, the calculation gives -1.569 eV/atom. Its crystal system is trigonal. The volume comes out at 173 Å³/f.u. The total energy comes out at -5.429 eV/atom. Its density of states at the Fermi level is 0.0 states/eV/cell.


Record 3
DFT (GGA-PBE) results for a relaxed structure of HfTlSb2.

Cell lengths 4.0548, 4.0548, 24.6674 Å; angles 90.00, 90.00, 120.00 degrees
Space group R-3m (No. 166, hexagonal axes)
Symmetry-distinct sites (fractional):
Hf 0.0000 0.0000 0.0000 [3 per cell]
Tl 0.0000 0.0000 0.5000 [3 per cell]
Sb 0.0000 0.0000 0.2626 [6 per cell]

## Properties
For the uncorrected formation energy, the calculation gives -0.183 eV/atom. Its crystal system is trigonal. The volume comes out at 117 Å³/f.u. The total energy comes out at -5.324 eV/atom. Its density of states at the Fermi level is 6.9 states/eV/cell.


Record 4
DFT (GGA-PBE) results for a relaxed structure of CrP3Br.

Cell lengths 4.4739, 4.4739, 4.4739 Å; angles 90.00, 90.00, 90.00 degrees
Space group Pm-3m (No. 221)
Symmetry-distinct sites (fractional):
Cr 0.0000 0.0000 0.0000 [1 per cell]
P 0.0000 0.0000 0.5000 [3 per cell]
Br 0.5000 0.5000 0.5000 [1 per cell]

## Properties
For the uncorrected formation energy, the calculation gives 0.373 eV/atom. Its crystal system is cubic. The volume comes out at 90 Å³/f.u. The total energy comes out at -5.132 eV/atom. Its density of states at the Fermi level is 3.1 states/eV/cell.


Record 5
DFT (GGA-PBE) results for a relaxed structure of SrPmNd14.

Cell lengths 7.4314, 7.4314, 10.4253 Å; angles 90.00, 90.00, 90.00 degrees
Space group P4/mmm (No. 123)
Symmetry-distinct sites (fractional):
Sr 0.0000 0.0000 0.0000 [1 per cell]
Pm 0.5000 0.5000 0.0000 [1 per cell]
Nd 0.0000 0.0000 0.5000 [1 per cell]
Nd 0.0000 0.5000 0.0000 [2 per cell]
Nd 0.0000 0.5000 0.5000 [2 per cell]
Nd 0.2555 0.2555 0.2547 [8 per cell]
Nd 0.5000 0.5000 0.5000 [1 per cell]

## Properties
The formation energy is 4.07 kJ per mole of atoms. Its crystal system is tetragonal. The volume comes out at 576 Å³/f.u. The total energy comes out at -4.532 eV/atom. Its density of states at the Fermi level is 23.9 states/eV/cell.


Record 6
DFT (GGA-PBE) results for a relaxed structure of Cs5Dy2Cl12.

Cell lengths 16.6035, 11.4414, 10.7818 Å; angles 90.00, 125.84, 90.00 degrees
Space group C2/m (No. 12)
Symmetry-distinct sites (fractional):
Cs 0.0000 0.0000 0.0000 [2 per cell]
Cs 0.1670 0.5000 0.9495 [4 per cell]
Cs 0.2377 0.5000 0.5113 [4 per cell]
Dy 0.0000 0.1857 0.5000 [4 per cell]
Cl 0.0448 0.1792 0.3014 [8 per cell]
Cl 0.0664 0.5000 0.1457 [4 per cell]
Cl 0.1258 0.0000 0.6521 [4 per cell]
Cl 0.1523 0.3217 0.6794 [8 per cell]

## Properties
For the uncorrected formation energy, the calculation gives -1.985 eV/atom. Its crystal system is monoclinic. The volume comes out at 830 Å³/f.u. The total energy comes out at -3.860 eV/atom.


Record 7
DFT (GGA-PBE) results for a relaxed structure of TiCr2Co2.

Cell lengths 7.0061, 7.0061, 2.4830 Å; angles 90.00, 90.00, 90.00 degrees
Space group P4/mbm (No. 127)
Symmetry-distinct sites (fractional):
Ti 0.0000 0.0000 0.0000 [2 per cell]
Cr 0.1181 0.3819 0.0000 [4 per cell]
Co 0.1759 0.6759 0.5000 [4 per cell]

## Properties
The formation energy is 6.58 kJ per mole of atoms. Its crystal system is tetragonal. The volume comes out at 61 Å³/f.u. The total energy comes out at -8.203 eV/atom. Its density of states at the Fermi level is 11.5 states/eV/cell.


Record 8
DFT (GGA-PBE) results for a relaxed structure of TbIn6Ni3.

Cell lengths 11.0279, 3.4340, 11.6150 Å; angles 90.00, 106.23, 90.00 degrees
Space group P2_1/m (No. 11)
Symmetry-distinct sites (fractional):
Tb 0.0468 0.2500 0.2720 [2 per cell]
In 0.1303 0.2500 0.9530 [2 per cell]
In 0.2043 0.7500 0.4928 [2 per cell]
In 0.2403 0.7500 0.7518 [2 per cell]
In 0.2679 0.7500 0.1950 [2 per cell]
In 0.4730 0.2500 0.6126 [2 per cell]
In 0.4878 0.2500 0.1177 [2 per cell]
Ni 0.0603 0.2500 0.5866 [2 per cell]
Ni 0.3229 0.7500 0.9885 [2 per cell]
Ni 0.3235 0.2500 0.3846 [2 per cell]

## Properties
The formation energy is -8.18 kJ per mole of atoms. Its crystal system is monoclinic. The volume comes out at 211 Å³/f.u. The total energy comes out at -3.925 eV/atom. Its density of states at the Fermi level is 11.1 states/eV/cell.


Record 9
DFT (GGA-PBE) results for a relaxed structure of NaLiSnPt.

Cell lengths 6.6098, 6.6098, 6.6098 Å; angles 90.00, 90.00, 90.00 degrees
Space group F-43m (No. 216)
Symmetry-distinct sites (fractional):
Na 0.0000 0.0000 0.0000 [4 per cell]
Li 0.2500 0.2500 0.7500 [4 per cell]
Sn 0.0000 0.0000 0.5000 [4 per cell]
Pt 0.2500 0.2500 0.2500 [4 per cell]

## Properties
The formation energy is -41.30 kJ per mole of atoms. Its crystal system is cubic. The volume comes out at 72 Å³/f.u. The total energy comes out at -3.747 eV/atom. Its density of states at the Fermi level is 6.6 states/eV/cell.


Record 10
DFT (GGA-PBE) results for a relaxed structure of CaAlNi2H8.

Cell lengths 4.4884, 4.4884, 17.1141 Å; angles 90.00, 90.00, 120.00 degrees
Space group R-3 (No. 148, hexagonal axes)
Symmetry-distinct sites (fractional):
Ca 0.0000 0.0000 0.0000 [3 per cell]
Al 0.0000 0.0000 0.5000 [3 per cell]
Ni 0.0000 0.0000 0.2214 [6 per cell]
H 0.0000 0.0000 0.3093 [6 per cell]
H 0.0089 0.6879 0.5633 [18 per cell]

## Properties
Its crystal system is trigonal. The volume comes out at 100 Å³/f.u. The total energy comes out at -3.746 eV/atom. Its density of states at the Fermi level is 8.0 states/eV/cell.


Record 11
DFT (GGA-PBE) results for a relaxed structure of Tb7Cu2Ag2.

Cell lengths 7.6731, 11.0132, 7.1961 Å; angles 90.00, 90.00, 90.00 degrees
Space group Cmmm (No. 65)
Symmetry-distinct sites (fractional):
Tb 0.0000 0.0000 0.0000 [2 per cell]
Tb 0.0000 0.5000 0.2499 [4 per cell]
Tb 0.2500 0.2500 0.2628 [8 per cell]
Cu 0.0000 0.2977 0.0000 [4 per cell]
Ag 0.1786 0.0000 0.5000 [4 per cell]

## Properties
The formation energy is 2.89 kJ per mole of atoms. Its crystal system is orthorhombic. The volume comes out at 304 Å³/f.u. The total energy comes out at -4.180 eV/atom. Its density of states at the Fermi level is 27.0 states/eV/cell.


Record 12
DFT (GGA-PBE) results for a relaxed structure of Hf3MnRu.

Cell lengths 4.6645, 4.6645, 4.6645 Å; angles 90.00, 90.00, 90.00 degrees
Space group Pm-3m (No. 221)
Symmetry-distinct sites (fractional):
Hf 0.0000 0.0000 0.5000 [3 per cell]
Mn 0.0000 0.0000 0.0000 [1 per cell]
Ru 0.5000 0.5000 0.5000 [1 per cell]

## Properties
The formation energy is 52.38 kJ per mole of atoms. Its crystal system is cubic. The volume comes out at 101 Å³/f.u. The total energy comes out at -9.118 eV/atom. Its density of states at the Fermi level is 5.0 states/eV/cell.